Entry 1:
A plane-wave DFT calculation with PBE was carried out for a geometry-optimized Ba2Zn5Rh structure.

Values from the calculation:
Energy ... -2.38 eV/atom
Symmetry ... I4mm (107)

Lattice parameters (Å, degrees): 6.2126 6.2123 6.9949 116.38 116.38 89.99
Positions (direct):
Ba: 0.7822 0.2823 0.5647
Ba: 0.2823 0.7822 0.5647
Zn: 0.2823 0.7806 0.0628
Zn: 0.7807 0.7807 0.0629
Zn: 0.6661 0.6661 0.3320
Zn: 0.7806 0.2822 0.0628
Zn: 0.2822 0.2821 0.0626
Rh: 0.9207 0.9207 0.8415

Entry 2:
A plane-wave DFT calculation with PBE was carried out for a geometry-optimized Ba2ZnRh structure.

Values from the calculation:
Energy ... -3.00 eV/atom
Symmetry ... F-43m (216)

Lattice parameters (Å, degrees): 5.3373 5.3373 5.3373 60.00 60.00 60.00
Positions (direct):
Ba: 0.2500 0.2500 0.2500
Ba: 0.0000 0.0000 0.0000
Zn: 0.7500 0.7500 0.7500
Rh: 0.5000 0.5000 0.5000

Entry 3:
A plane-wave DFT calculation with PBE was carried out for a geometry-optimized Ba3Zn3Rh structure.

Values from the calculation:
Energy ... -2.66 eV/atom
Symmetry ... C2/m (12)

Lattice parameters (Å, degrees): 4.4962 6.5110 16.0551 83.28 81.95 69.80
Positions (direct):
Ba: 0.3962 0.2867 0.9210
Ba: 0.6038 0.7133 0.0790
Ba: 0.7555 0.7368 0.7521
Ba: 0.4760 0.6543 0.3938
Ba: 0.2445 0.2632 0.2479
Ba: 0.5240 0.3457 0.6062
Zn: 0.9437 0.8691 0.2435
Zn: 0.0563 0.1309 0.7565
Zn: 0.1024 0.8797 0.9155
Zn: 0.8046 0.8537 0.5371
Zn: 0.1954 0.1463 0.4629
Zn: 0.8976 0.1203 0.0845
Rh: 0.2217 0.9415 0.6151
Rh: 0.7783 0.0585 0.3849

Entry 4:
A plane-wave DFT calculation with PBE was carried out for a geometry-optimized Ba2ZnRh structure.

Values from the calculation:
Energy ... -3.18 eV/atom
Symmetry ... P4mm (99)

Lattice parameters (Å, degrees): 3.6843 3.6843 9.2865 90.00 90.00 90.00
Positions (direct):
Zn: 0.5000 0.5000 0.6622
Rh: 0.0000 0.0000 0.5958
Ba: 0.5000 0.5000 0.3334
Ba: 0.0000 0.0000 0.9086

Entry 5:
A plane-wave DFT calculation with PBE was carried out for a geometry-optimized BaZn3Rh2 structure.

Values from the calculation:
Energy ... -3.79 eV/atom
Symmetry ... Cmcm (63)

Lattice parameters (Å, degrees): 5.8257 6.5337 6.5337 104.64 90.00 90.00
Positions (direct):
Zn: 0.7500 0.0706 0.4713
Zn: 0.2500 0.9368 0.9368
Zn: 0.7500 0.0632 0.0632
Zn: 0.7500 0.4713 0.0706
Zn: 0.2500 0.9294 0.5287
Zn: 0.2500 0.5287 0.9294
Rh: 0.5000 0.8003 0.1997
Rh: 0.0000 0.8003 0.1997
Rh: 0.0000 0.1997 0.8003
Rh: 0.5000 0.1997 0.8003
Ba: 0.7500 0.6612 0.6612
Ba: 0.2500 0.3388 0.3388

Entry 6:
A plane-wave DFT calculation with PBE was carried out for a geometry-optimized BaZnRh structure.

Values from the calculation:
Energy ... -3.49 eV/atom
Symmetry ... F-43m (216)

Lattice parameters (Å, degrees): 4.8713 4.8713 4.8713 60.00 60.00 60.00
Positions (direct):
Ba: 0.5000 0.5000 0.5000
Rh: 0.7500 0.7500 0.7500
Zn: 0.0000 0.0000 0.0000

Entry 7:
A plane-wave DFT calculation with PBE was carried out for a geometry-optimized Ba2Zn2Rh3 structure.

Values from the calculation:
Energy ... -4.23 eV/atom
Symmetry ... C2/m (12)

Lattice parameters (Å, degrees): 4.4616 6.0956 7.1750 119.45 90.00 111.47
Positions (direct):
Ba: 0.1726 0.3452 0.7733
Ba: 0.8274 0.6548 0.2267
Zn: 0.8780 0.7559 0.7442
Zn: 0.1220 0.2441 0.2558
Rh: 0.5000 0.0000 0.0000
Rh: 0.5849 0.1699 0.4251
Rh: 0.4151 0.8301 0.5749

Entry 8:
A plane-wave DFT calculation with PBE was carried out for a geometry-optimized Ba12Zn3Rh5 structure.

Values from the calculation:
Energy ... -3.17 eV/atom
Symmetry ... Ia-3d (230)

Lattice parameters (Å, degrees): 16.4832 16.4832 16.4832 109.47 109.47 109.47
Positions (direct):
Ba: 0.0272 0.4088 0.8209
Ba: 0.5879 0.7063 0.6791
Ba: 0.1184 0.4121 0.0912
Ba: 0.0879 0.1791 0.2063
Ba: 0.4728 0.6791 0.0912
Ba: 0.9088 0.0879 0.8816
Ba: 0.7063 0.5879 0.1791
Ba: 0.2063 0.6791 0.0879
Ba: 0.5912 0.6184 0.4121
Ba: 0.8209 0.9121 0.2937
Ba: 0.4088 0.0272 0.3209
Ba: 0.3816 0.9728 0.7937
Ba: 0.6791 0.2063 0.5879
Ba: 0.9121 0.0912 0.6184
Ba: 0.5272 0.2063 0.1184
Ba: 0.3209 0.7937 0.4121
Ba: 0.5879 0.8816 0.4088
Ba: 0.9728 0.3816 0.2937
Ba: 0.2937 0.8816 0.9728
Ba: 0.7063 0.1184 0.0272
Ba: 0.9728 0.5912 0.1791
Ba: 0.1791 0.0879 0.7063
Ba: 0.4121 0.1184 0.5912
Ba: 0.4121 0.2937 0.3209
Ba: 0.4088 0.3816 0.5879
Ba: 0.8209 0.9088 0.0272
Ba: 0.2937 0.4121 0.8209
Ba: 0.9088 0.8209 0.5272
Ba: 0.6791 0.4728 0.5912
Ba: 0.6184 0.5912 0.9121
Ba: 0.0912 0.9121 0.1184
Ba: 0.4728 0.7937 0.8816
Ba: 0.1184 0.7063 0.5272
Ba: 0.1791 0.0912 0.9728
Ba: 0.3816 0.4088 0.0879
Ba: 0.5272 0.3209 0.9088
Ba: 0.7937 0.4728 0.3816
Ba: 0.5912 0.9728 0.6791
Ba: 0.8816 0.2937 0.4728
Ba: 0.6184 0.0272 0.2063
Ba: 0.7937 0.3209 0.9121
Ba: 0.8816 0.5879 0.9088
Ba: 0.0272 0.6184 0.7063
Ba: 0.2063 0.5272 0.6184
Ba: 0.0912 0.1791 0.4728
Ba: 0.9121 0.8209 0.7937
Ba: 0.0879 0.9088 0.3816
Ba: 0.3209 0.5272 0.4088
Rh: 0.5000 0.0000 0.5000
Rh: 0.0000 0.5000 0.0000
Rh: 0.3750 0.2500 0.1250
Rh: 0.0000 0.0000 0.0000
Rh: 0.0000 0.5000 0.5000
Rh: 0.0000 0.0000 0.5000
Rh: 0.7500 0.1250 0.8750
Rh: 0.5000 0.5000 0.0000
Rh: 0.5000 0.0000 0.0000
Rh: 0.5000 0.5000 0.5000
Rh: 0.2500 0.3750 0.6250
Rh: 0.3750 0.1250 0.7500
Rh: 0.8750 0.2500 0.6250
Rh: 0.1250 0.3750 0.2500
Rh: 0.6250 0.8750 0.2500
Rh: 0.8750 0.6250 0.7500
Rh: 0.7500 0.6250 0.3750
Rh: 0.6250 0.7500 0.8750
Rh: 0.1250 0.7500 0.3750
Rh: 0.2500 0.8750 0.1250
Zn: 0.6250 0.2500 0.3750
Zn: 0.3750 0.7500 0.6250
Zn: 0.1250 0.2500 0.8750
Zn: 0.8750 0.7500 0.1250
Zn: 0.2500 0.6250 0.8750
Zn: 0.7500 0.8750 0.6250
Zn: 0.6250 0.3750 0.7500
Zn: 0.1250 0.8750 0.7500
Zn: 0.8750 0.1250 0.2500
Zn: 0.7500 0.3750 0.1250
Zn: 0.3750 0.6250 0.2500
Zn: 0.2500 0.1250 0.3750

Number 1: magnetic moment 0.00 μB/f.u., formation energy -0.182 eV/atom. Number 2: magnetic moment 0.00 μB/f.u., formation energy 0.115 eV/atom. Number 3: magnetic moment 0.00 μB/f.u., formation energy -0.242 eV/atom. Number 4: magnetic moment 0.00 μB/f.u., formation energy -0.063 eV/atom. Number 5: magnetic moment 0.00 μB/f.u., formation energy -0.387 eV/atom. Number 6: magnetic moment 0.00 μB/f.u., formation energy 0.031 eV/atom. Number 7: magnetic moment 0.00 μB/f.u., formation energy -0.167 eV/atom. Number 8: magnetic moment 0.01 μB/f.u., formation energy 0.009 eV/atom.